## RbHgI (PBE)

Data for crystalline RbHgI at its relaxed geometry.

Energy relative to the elements, uncorrected: -943 meV/atom
Excess energy over the best structure of this formula in the dataset: 0.000 eV/f.u.
Fermi-level density of states: 0.0 states/eV/f.u.
DFT total energy: -1.88 eV/atom
SG: C2/m

a b c (Å): 5.1876 5.1876 10.3810
angles (deg): 90.08 90.08 90.00
With the nearest neighbours (Å) after each atom.
Sites, in units of the cell vectors:
Rb 0.2490 0.2490 0.3224  5 I 3.67-3.71
Rb 0.7510 0.7510 0.6776  5 I 3.67-3.71
Hg 0.2501 0.7499 0.0000  4 Hg 3.67
Hg 0.7499 0.2501 0.0000  4 Hg 3.67
I 0.2509 0.2509 0.6795  5 Rb 3.67-3.71
I 0.7491 0.7491 0.3205  5 Rb 3.67-3.71